1.
The following is a DFT calculation (PBE) of an optimized crystal structure of BaW.

Values from the calculation:
Magnetic moment in μB/atom: 0.000
ΔE_f in eV/atom: 0.78
Relative energy among the computed polymorphs in eV per atom: 0.000
Calculated total energy in eV/atom: -6.662

Lattice parameters (Å, degrees): 4.3196 4.3196 28.6773 90.00 90.00 120.00
Space group R-3m (No. 166, hexagonal axes)
Unique sites:
Ba 0.0000 0.0000 0.0884 x6
W 0.0000 0.0000 0.3333 x6

2.
The following is a DFT calculation (PBE) of an optimized crystal structure of BaW.

Values from the calculation:
Magnetic moment in μB/atom: 0.000
ΔE_f in eV/atom: 1.84
Relative energy among the computed polymorphs in eV per atom: 1.067
Calculated total energy in eV/atom: -5.595

Lattice parameters (Å, degrees): 3.1076 3.1076 12.1079 90.00 90.00 120.00
Space group P6_3/mmc (No. 194)
Unique sites:
Ba 0.0000 0.0000 0.0000 x2
W 0.3333 0.6667 0.2500 x2

3.
The following is a DFT calculation (PBE) of an optimized crystal structure of Ba3W.

Values from the calculation:
Magnetic moment in μB/atom: 0.772
ΔE_f in eV/atom: 1.14
Relative energy among the computed polymorphs in eV per atom: 0.516
Calculated total energy in eV/atom: -3.545

Lattice parameters (Å, degrees): 6.101 6.101 8.601 90.00 90.00 90.00
Space group I4/mmm (No. 139)
Unique sites:
Ba 0.000 0.000 0.000 x2
Ba 0.000 0.500 0.250 x4
W 0.000 0.000 0.500 x2

4.
The following is a DFT calculation (PBE) of an optimized crystal structure of Ba3W.

Values from the calculation:
Magnetic moment in μB/atom: 0.689
ΔE_f in eV/atom: 1.17
Relative energy among the computed polymorphs in eV per atom: 0.550
Calculated total energy in eV/atom: -3.510

Lattice parameters (Å, degrees): 5.582 5.582 20.610 90.00 90.00 90.00
Space group I4/mmm (No. 139)
Unique sites:
Ba 0.000 0.000 0.127 x4
Ba 0.000 0.500 0.000 x4
Ba 0.000 0.500 0.250 x4
W 0.000 0.000 0.368 x4

5.
The following is a DFT calculation (PBE) of an optimized crystal structure of BaW.

Values from the calculation:
Magnetic moment in μB/atom: 0.000
ΔE_f in eV/atom: 1.17
Relative energy among the computed polymorphs in eV per atom: 0.389
Calculated total energy in eV/atom: -6.272

Lattice parameters (Å, degrees): 6.045 10.882 7.930 90.00 90.00 90.00
Space group Cmcm (No. 63)
Unique sites:
Ba 0.000 0.080 0.250 x4
Ba 0.000 0.254 0.750 x4
W 0.000 0.416 0.099 x8

6.
The following is a DFT calculation (PBE) of an optimized crystal structure of Ba2W.

Values from the calculation:
Magnetic moment in μB/atom: 0.357
ΔE_f in eV/atom: 1.45
Relative energy among the computed polymorphs in eV per atom: 0.771
Calculated total energy in eV/atom: -4.147

Lattice parameters (Å, degrees): 5.8916 5.8916 3.1182 90.00 90.00 120.00
Space group P6/mmm (No. 191)
Unique sites:
Ba 0.3333 0.6667 0.0000 x2
W 0.0000 0.0000 0.5000 x1

7.
The following is a DFT calculation (PBE) of an optimized crystal structure of BaW2.

Values from the calculation:
Magnetic moment in μB/atom: 0.000
ΔE_f in eV/atom: 1.54
Relative energy among the computed polymorphs in eV per atom: 0.864
Calculated total energy in eV/atom: -7.741

Lattice parameters (Å, degrees): 4.852 4.852 14.202 90.00 90.00 90.00
Space group I4_1/amd (No. 141, origin choice 2)
Unique sites:
Ba 0.000 0.250 0.375 x4
W 0.000 0.250 0.791 x8

8.
The following is a DFT calculation (PBE) of an optimized crystal structure of Ba2W.

Values from the calculation:
Magnetic moment in μB/atom: 0.980
ΔE_f in eV/atom: 1.51
Relative energy among the computed polymorphs in eV per atom: 0.833
Calculated total energy in eV/atom: -4.085

Lattice parameters (Å, degrees): 7.987 7.987 7.987 90.00 90.00 90.00
Space group Fm-3m (No. 225)
Unique sites:
Ba 0.250 0.250 0.250 x8
W 0.000 0.000 0.000 x4

9.
The following is a DFT calculation (PBE) of an optimized crystal structure of BaW2.

Values from the calculation:
Magnetic moment in μB/atom: 0.000
ΔE_f in eV/atom: 3.37
Relative energy among the computed polymorphs in eV per atom: 2.694
Calculated total energy in eV/atom: -5.910

Lattice parameters (Å, degrees): 5.518 5.518 2.783 90.00 90.00 90.00
Space group P4/mmm (No. 123)
Unique sites:
Ba 0.000 0.000 0.000 x1
W 0.000 0.500 0.500 x2

10.
The following is a DFT calculation (PBE) of an optimized crystal structure of BaW3.

Values from the calculation:
Magnetic moment in μB/atom: 0.000
ΔE_f in eV/atom: 1.66
Relative energy among the computed polymorphs in eV per atom: 0.742
Calculated total energy in eV/atom: -8.540

Lattice parameters (Å, degrees): 4.922 4.922 3.196 90.00 90.00 90.00
Space group P4/mmm (No. 123)
Unique sites:
Ba 0.000 0.000 0.000 x1
W 0.000 0.500 0.500 x2
W 0.500 0.500 0.000 x1

11.
The following is a DFT calculation (PBE) of an optimized crystal structure of Ba3W.

Values from the calculation:
Magnetic moment in μB/atom: 0.562
ΔE_f in eV/atom: 1.04
Relative energy among the computed polymorphs in eV per atom: 0.419
Calculated total energy in eV/atom: -3.641

Lattice parameters (Å, degrees): 3.982 6.310 14.062 90.00 90.00 90.00
Space group Immm (No. 71)
Unique sites:
Ba 0.000 0.000 0.000 x2
Ba 0.000 0.500 0.184 x4
W 0.000 0.000 0.500 x2

12.
The following is a DFT calculation (PBE) of an optimized crystal structure of BaW3.

Values from the calculation:
Magnetic moment in μB/atom: 0.000
ΔE_f in eV/atom: 1.08
Relative energy among the computed polymorphs in eV per atom: 0.168
Calculated total energy in eV/atom: -9.114

Lattice parameters (Å, degrees): 9.715 3.282 6.441 90.00 102.34 90.00
Space group C2/m (No. 12)
Unique sites:
Ba 0.000 0.000 0.000 x2
W 0.000 0.500 0.500 x2
W 0.213 0.000 0.626 x4

13.
The following is a DFT calculation (PBE) of an optimized crystal structure of Ba2W.

Values from the calculation:
Magnetic moment in μB/atom: 0.648
ΔE_f in eV/atom: 1.46
Relative energy among the computed polymorphs in eV per atom: 0.780
Calculated total energy in eV/atom: -4.138

Lattice parameters (Å, degrees): 8.090 8.290 3.676 90.00 90.00 90.00
Space group Pnnm (No. 58)
Unique sites:
Ba 0.212 0.164 0.000 x4
W 0.000 0.500 0.000 x2

14.
The following is a DFT calculation (PBE) of an optimized crystal structure of Ba5W.

Values from the calculation:
Magnetic moment in μB/atom: 0.492
ΔE_f in eV/atom: 0.78
Relative energy among the computed polymorphs in eV per atom: 0.104
Calculated total energy in eV/atom: -2.982

Lattice parameters (Å, degrees): 6.437 4.805 18.950 90.00 90.00 90.00
Space group Amm2 (No. 38)
Unique sites:
Ba 0.000 0.000 0.000 x2
Ba 0.000 0.000 0.260 x2
Ba 0.500 0.000 0.129 x2
Ba 0.500 0.000 0.464 x2
Ba 0.500 0.000 0.794 x2
W 0.000 0.000 0.630 x2

15.
The following is a DFT calculation (PBE) of an optimized crystal structure of BaW.

Values from the calculation:
Magnetic moment in μB/atom: 1.521
ΔE_f in eV/atom: 2.16
Relative energy among the computed polymorphs in eV per atom: 1.380
Calculated total energy in eV/atom: -5.282

Lattice parameters (Å, degrees): 3.957 3.957 3.957 90.00 90.00 90.00
Space group Pm-3m (No. 221)
Unique sites:
Ba 0.000 0.000 0.000 x1
W 0.500 0.500 0.500 x1

16.
The following is a DFT calculation (PBE) of an optimized crystal structure of BaW.

Values from the calculation:
Magnetic moment in μB/atom: 0.000
ΔE_f in eV/atom: 1.09
Relative energy among the computed polymorphs in eV per atom: 0.311
Calculated total energy in eV/atom: -6.351

Lattice parameters (Å, degrees): 10.135 3.775 6.911 90.00 90.00 90.00
Space group Pnma (No. 62)
Unique sites:
Ba 0.184 0.250 0.109 x4
W 0.028 0.250 0.604 x4

17.
The following is a DFT calculation (PBE) of an optimized crystal structure of BaW3.

Values from the calculation:
Magnetic moment in μB/atom: 0.000
ΔE_f in eV/atom: 2.14
Relative energy among the computed polymorphs in eV per atom: 1.225
Calculated total energy in eV/atom: -8.057

Lattice parameters (Å, degrees): 4.326 4.326 4.326 90.00 90.00 90.00
Space group Pm-3m (No. 221)
Unique sites:
Ba 0.000 0.000 0.000 x1
W 0.000 0.500 0.500 x3

18.
The following is a DFT calculation (PBE) of an optimized crystal structure of BaW3.

Values from the calculation:
Magnetic moment in μB/atom: 0.000
ΔE_f in eV/atom: 1.45
Relative energy among the computed polymorphs in eV per atom: 0.540
Calculated total energy in eV/atom: -8.741

Lattice parameters (Å, degrees): 2.971 5.573 10.443 90.00 90.00 90.00
Space group Immm (No. 71)
Unique sites:
Ba 0.000 0.000 0.000 x2
W 0.000 0.000 0.500 x2
W 0.000 0.500 0.209 x4

19.
The following is a DFT calculation (PBE) of an optimized crystal structure of BaW.

Values from the calculation:
Magnetic moment in μB/atom: 2.048
ΔE_f in eV/atom: 2.56
Relative energy among the computed polymorphs in eV per atom: 1.781
Calculated total energy in eV/atom: -4.881

Lattice parameters (Å, degrees): 6.821 6.821 6.821 90.00 90.00 90.00
Space group Fm-3m (No. 225)
Unique sites:
Ba 0.000 0.000 0.000 x4
W 0.000 0.000 0.500 x4

20.
The following is a DFT calculation (PBE) of an optimized crystal structure of BaY3W.

Values from the calculation:
Magnetic moment in μB/atom: 0.000
ΔE_f in eV/atom: 2.09
Relative energy among the computed polymorphs in eV per atom: 1.659
Calculated total energy in eV/atom: -4.760

Lattice parameters (Å, degrees): 5.450 5.450 5.450 90.00 90.00 90.00
Space group Pm-3m (No. 221)
Unique sites:
Ba 0.000 0.000 0.000 x1
Y 0.000 0.000 0.500 x3
W 0.500 0.500 0.500 x1

21.
The following is a DFT calculation (PBE) of an optimized crystal structure of Ba4YW.

Values from the calculation:
Magnetic moment in μB/atom: 0.358
ΔE_f in eV/atom: 1.30
Calculated total energy in eV/atom: -3.221

Lattice parameters (Å, degrees): 10.114 10.114 10.114 90.00 90.00 90.00
Space group F-43m (No. 216)
Unique sites:
Ba 0.125 0.125 0.125 x16
Y 0.000 0.000 0.500 x4
W 0.250 0.250 0.750 x4

22.
The following is a DFT calculation (PBE) of an optimized crystal structure of BaY3W.

Values from the calculation:
Magnetic moment in μB/atom: 0.000
ΔE_f in eV/atom: 0.43
Relative energy among the computed polymorphs in eV per atom: 0.000
Calculated total energy in eV/atom: -6.419

Lattice parameters (Å, degrees): 5.628 5.628 5.628 90.00 90.00 90.00
Space group Pm-3m (No. 221)
Unique sites:
Ba 0.000 0.000 0.000 x1
Y 0.000 0.500 0.500 x3
W 0.500 0.500 0.500 x1

23.
The following is a DFT calculation (PBE) of an optimized crystal structure of Ba2YZrW.

Values from the calculation:
Magnetic moment in μB/atom: 0.314
ΔE_f in eV/atom: 1.33
Calculated total energy in eV/atom: -5.037

Lattice parameters (Å, degrees): 6.237 6.237 4.963 90.00 90.00 90.00
Space group P4/mmm (No. 123)
Unique sites:
Ba 0.000 0.500 0.000 x2
Y 0.000 0.000 0.500 x1
Zr 0.500 0.500 0.000 x1
W 0.500 0.500 0.500 x1

24.
The following is a DFT calculation (PBE) of an optimized crystal structure of BaZnW2.

Values from the calculation:
Magnetic moment in μB/atom: 0.000
ΔE_f in eV/atom: 0.95
Calculated total energy in eV/atom: -6.330

Lattice parameters (Å, degrees): 3.328 4.744 6.587 90.00 101.95 90.00
Space group P2/m (No. 10)
Unique sites:
Ba 0.000 0.000 0.000 x1
Zn 0.500 0.000 0.500 x1
W 0.304 0.500 0.637 x2

25.
The following is a DFT calculation (PBE) of an optimized crystal structure of BaZn2W.

Values from the calculation:
Magnetic moment in μB/atom: 0.496
ΔE_f in eV/atom: 0.91
Relative energy among the computed polymorphs in eV per atom: 0.437
Calculated total energy in eV/atom: -3.445

Lattice parameters (Å, degrees): 7.138 7.138 7.138 90.00 90.00 90.00
Space group Fm-3m (No. 225)
Unique sites:
Ba 0.000 0.000 0.000 x4
Zn 0.250 0.250 0.250 x8
W 0.000 0.000 0.500 x4

26.
The following is a DFT calculation (PBE) of an optimized crystal structure of BaZnW2.

Values from the calculation:
Magnetic moment in μB/atom: 0.000
ΔE_f in eV/atom: 0.95
Calculated total energy in eV/atom: -6.330

Lattice parameters (Å, degrees): 3.486 3.486 7.416 90.00 90.00 90.00
Space group P4/mmm (No. 123)
Unique sites:
Ba 0.000 0.000 0.000 x1
Zn 0.000 0.000 0.500 x1
W 0.500 0.500 0.346 x2

27.
The following is a DFT calculation (PBE) of an optimized crystal structure of BaZn2W.

Values from the calculation:
Magnetic moment in μB/atom: 0.000
ΔE_f in eV/atom: 0.85
Relative energy among the computed polymorphs in eV per atom: 0.379
Calculated total energy in eV/atom: -3.502

Lattice parameters (Å, degrees): 3.170 5.688 10.549 90.00 90.00 90.00
Space group Immm (No. 71)
Unique sites:
Ba 0.000 0.000 0.000 x2
Zn 0.000 0.500 0.202 x4
W 0.000 0.000 0.500 x2

28.
The following is a DFT calculation (PBE) of an optimized crystal structure of BaZnW2.

Values from the calculation:
Magnetic moment in μB/atom: 0.000
ΔE_f in eV/atom: 1.10
Calculated total energy in eV/atom: -6.177

Lattice parameters (Å, degrees): 2.861 2.861 9.868 90.00 90.00 90.00
Space group P4/mmm (No. 123)
Unique sites:
Ba 0.000 0.000 0.000 x1
Zn 0.000 0.000 0.500 x1
W 0.500 0.500 0.304 x2

29.
The following is a DFT calculation (PBE) of an optimized crystal structure of BaZnW2.

Values from the calculation:
Magnetic moment in μB/atom: 0.000
ΔE_f in eV/atom: 1.49
Calculated total energy in eV/atom: -5.784

Lattice parameters (Å, degrees): 4.089 4.089 5.116 90.00 90.00 90.00
Space group P4/mmm (No. 123)
Unique sites:
Ba 0.000 0.000 0.000 x1
Zn 0.500 0.500 0.000 x1
W 0.000 0.500 0.500 x2